(1)
First-principles (GGA-PBE) data for a geometry-optimized Pm3Sm2Ho4 structure, as listed in the Alexandria database.

Results
The symmetry is C2/m, No. 12. For the calculated formation energy, the calculation gives 18 meV per atom. The value obtained for the energy is -41.8 eV for the cell shown. Its density of states at the Fermi level is 1.432 states/eV per atom.

Cell: 5.070 8.018 8.031 Å, 107.46 108.40 90.00°
Positions (direct):
Ho: 0.557 0.335 0.114
Ho: 0.778 0.665 0.556
Ho: 0.443 0.665 0.886
Ho: 0.222 0.335 0.444
Pm: 0.111 0.665 0.222
Pm: 0.889 0.335 0.778
Pm: 0.000 0.000 0.000
Sm: 0.667 0.001 0.333
Sm: 0.333 0.999 0.667

---

(2)
First-principles (GGA-PBE) data for a geometry-optimized Pm2Sm4Ho3 structure, as listed in the Alexandria database.

Results
The symmetry is P3m1, No. 156. For the calculated formation energy, the calculation gives 52 meV per atom. The value obtained for the energy is -41.6 eV for the cell shown. Its density of states at the Fermi level is 1.843 states/eV per atom.

Cell: 3.618 3.618 26.664 Å, 90.00 90.00 120.00°
Positions (direct):
Pm: 0.667 0.333 0.087
Pm: 0.667 0.333 0.872
Ho: 0.667 0.333 0.653
Ho: 0.000 0.000 0.981
Ho: 0.000 0.000 0.325
Sm: 0.667 0.333 0.220
Sm: 0.667 0.333 0.434
Sm: 0.000 0.000 0.545
Sm: 0.000 0.000 0.760

---

(3)
First-principles (GGA-PBE) data for a geometry-optimized PmSm2Ho4 structure, as listed in the Alexandria database.

Results
The symmetry is P-1, No. 2. For the calculated formation energy, the calculation gives 16 meV per atom. The value obtained for the energy is -64.8 eV for the cell shown. Its density of states at the Fermi level is 1.708 states/eV per atom.

Cell: 6.299 6.762 11.188 Å, 89.58 106.39 90.07°
Positions (direct):
Sm: 0.297 0.180 0.430
Sm: 0.703 0.820 0.570
Sm: 0.415 0.252 0.000
Sm: 0.585 0.748 0.000
Ho: 0.871 0.323 0.571
Ho: 0.726 0.037 0.287
Ho: 0.274 0.963 0.713
Ho: 0.562 0.535 0.287
Ho: 0.129 0.677 0.429
Ho: 0.987 0.391 0.144
Ho: 0.013 0.609 0.856
Ho: 0.438 0.465 0.713
Pm: 0.154 0.889 0.145
Pm: 0.846 0.111 0.855